(1)
A relaxed PuNiH6 crystal. Source: Alexandria, functional PBE.

Calculated values
N(E_F) ... 9.23 states/eV/cell
Uncorrected energy ... -5.223 eV per atom
Total moment ... 0.698 μB per atom

The structure in extended XYZ format:
```
8
Lattice="4.0639 0.4919 1.7090 1.3134 3.8772 1.7090 0.6054 0.4919 4.3669" Properties=species:S:1:pos:R:3 pbc="T T T"
H 4.7825 2.5266 6.2218
H 5.1235 4.1640 4.9373
H 2.5309 0.6983 1.5621
H 1.2001 2.3343 1.5632
H 3.4518 4.1626 6.2229
Pu 2.9913 2.4305 3.8925
Ni 0.0000 0.0000 0.0000
H 0.8591 0.6969 2.8477
```

=====

(2)
A relaxed PuNi5H7 crystal. Source: Alexandria, functional PBE.

Calculated values
N(E_F) ... 16.29 states/eV/cell
Uncorrected energy ... -5.000 eV per atom
Total moment ... 0.380 μB per atom

The structure in extended XYZ format:
```
13
Lattice="-4.1946 0.7952 2.2991 -0.1273 -1.6552 5.4538 -1.6688 5.4480 0.1846" Properties=species:S:1:pos:R:3 pbc="T T T"
Ni -2.8227 3.2769 1.3924
H -3.2498 4.2128 2.8409
H -3.1057 2.1561 3.8151
Ni -4.9156 3.6737 2.5396
H -2.7417 2.6109 4.3218
Ni -2.0465 -0.2998 4.0456
H -4.0941 3.9395 6.5085
H -2.4860 0.6936 5.4514
H -4.7029 1.4023 6.2754
H -5.3094 4.1971 4.2022
Ni -4.8063 3.0494 5.5170
Pu -4.1080 0.9034 2.4197
Ni -4.1394 0.0970 5.1927
```

=====

(3)
A relaxed Pu2NiH crystal. Source: Alexandria, functional PBE.

Calculated values
N(E_F) ... 9.74 states/eV/cell
Uncorrected energy ... -9.344 eV per atom
Total moment ... 2.415 μB per atom

The structure in extended XYZ format:
```
4
Lattice="2.9728 0.0000 0.0000 1.4864 2.5745 0.0000 1.4864 0.8582 7.9329" Properties=species:S:1:pos:R:3 pbc="T T T"
Pu 1.4864 0.8582 1.6703
Pu 4.4592 2.5745 6.2625
Ni 2.9728 1.7164 3.9664
H 0.0000 0.0000 0.0000
```

=====

(4)
A relaxed Rb2PuNi3H12 crystal. Source: Alexandria, functional PBE.

Calculated values
N(E_F) ... 14.50 states/eV/cell
Uncorrected energy ... -4.245 eV per atom
Total moment ... 0.306 μB per atom

The structure in extended XYZ format:
```
18
Lattice="6.2273 -0.2515 -0.1784 2.8567 5.5391 -0.1784 2.8567 1.6628 5.2867" Properties=species:S:1:pos:R:3 pbc="T T T"
Pu 0.0000 0.0000 0.0000
H 5.0748 5.5357 1.1909
Ni 3.1137 -0.1257 -0.0892
H 7.6377 6.2761 4.4516
H 6.8659 3.9965 0.0991
H 4.6209 5.2715 3.7391
H 2.7114 3.4086 0.4783
Ni 1.4283 2.7696 -0.0892
H 7.3198 1.6789 1.1909
Rb 4.6609 2.7130 1.9243
H 2.7114 1.5783 3.0588
H 4.3030 0.6744 0.4783
H 9.2293 3.5419 4.4516
Rb 7.2798 4.2375 3.0056
H 5.0748 2.9540 4.8308
H 6.8659 1.4148 3.7391
Ni 1.4283 0.8314 2.6433
H 9.2293 5.3722 1.8711
```

=====

(5)
A relaxed Pu2Ni3H12Rh crystal. Source: Alexandria, functional PBE.

Calculated values
N(E_F) ... 20.42 states/eV/cell
Uncorrected energy ... -5.376 eV per atom
Total moment ... 0.684 μB per atom

The structure in extended XYZ format:
```
18
Lattice="5.9884 0.1486 0.1054 3.0866 5.1338 0.1054 3.0866 1.7966 4.8103" Properties=species:S:1:pos:R:3 pbc="T T T"
H 2.8622 1.6660 3.0806
H 9.2993 3.6208 4.4671
H 4.8358 4.6356 3.2880
Pu 7.4533 4.3384 3.0772
Rh 0.0000 0.0000 0.0000
Ni 1.5433 2.5669 0.0527
H 6.4191 3.7364 0.7210
H 4.4206 0.7810 0.5539
H 9.2993 5.4130 1.9405
Ni 1.5433 0.8983 2.4052
H 5.7425 3.3426 4.3001
H 5.7425 5.1634 1.7331
H 6.4191 1.9157 3.2880
Ni 2.9942 0.0743 0.0527
H 7.3257 2.4434 1.7331
H 2.8622 3.4582 0.5539
H 7.7410 6.2981 4.4671
Pu 4.7082 2.7406 1.9439
```

=====

(6)
A relaxed PuNi2H8Ru crystal. Source: Alexandria, functional PBE.

Calculated values
N(E_F) ... 14.58 states/eV/cell
Uncorrected energy ... -5.227 eV per atom
Total moment ... 0.431 μB per atom

The structure in extended XYZ format:
```
12
Lattice="-0.9049 -2.6349 -3.5711 -1.8314 -4.0967 0.6145 -5.7241 -0.1424 -1.3167" Properties=species:S:1:pos:R:3 pbc="T T T"
H -2.9103 -5.0105 -3.0664
H -5.6009 -2.3506 -3.5591
H -5.5501 -1.8636 -1.2069
Ni -6.8488 -4.9356 -3.2397
H -2.8595 -4.5234 -0.7143
Ni -1.6115 -1.9384 -1.0337
H -2.0447 -2.9066 -2.2937
H -6.4157 -3.9674 -1.9796
Ru 0.0000 0.0000 0.0000
H -3.0548 -1.3081 -1.1330
H -5.4055 -5.5659 -3.1404
Pu -4.2302 -3.4370 -2.1367
```